# 1
A plane-wave DFT calculation with GGA-PBE was carried out for a geometry-optimized Zn2SiBrN4 structure.

a b c (Å): 4.6011 4.6011 9.4351
angles (deg): 90.00 90.00 90.00
With the nearest neighbours (Å) after each atom.
Space group I-4 (No. 82)
Symmetry-distinct sites (fractional):
Zn 0.0000 0.0000 0.0000  4 N 2.04
Zn 0.0000 0.5000 0.2500  4 N 2.02
Si 0.0000 0.0000 0.5000  4 N 1.76
Br 0.0000 0.5000 0.7500  4 N 2.30
N 0.1966 0.7461 0.3985  1 Si 1.76

Output
VASP energy in eV/atom: -4.894
Density in Mg/m³: 4.9

# 2
A plane-wave DFT calculation with GGA-PBE was carried out for a geometry-optimized Ho2ErAl3Si2Pt structure.

a b c (Å): 4.2087 11.9115 6.8787
angles (deg): 90.00 90.00 90.00
With the nearest neighbours (Å) after each atom.
Space group Amm2 (No. 38)
Symmetry-distinct sites (fractional):
Ho 0.0000 0.2087 0.0000  1 Pt 2.87, 4 Si 2.95, 2 Al 3.17
Er 0.0000 0.0000 0.3740  1 Pt 2.86, 4 Si 2.94, 2 Al 3.17
Al 0.5000 0.0000 0.0290  2 Pt 2.67, 2 Si 2.68, 2 Al 2.83
Al 0.5000 0.1188 0.6721  2 Pt 2.66, 2 Si 2.68-2.69, 2 Al 2.83
Si 0.5000 0.1662 0.2914  3 Al 2.68-2.69, 2 Er 2.94, 4 Ho 2.95
Pt 0.0000 0.0000 0.7901  6 Al 2.66-2.67, 1 Er 2.86, 2 Ho 2.87

Output
VASP energy in eV/atom: -5.532
Density in Mg/m³: 8.0

# 3
A plane-wave DFT calculation with GGA-PBE was carried out for a geometry-optimized LaErSn2 structure.

a b c (Å): 3.3713 6.3767 12.4575
angles (deg): 90.00 90.00 90.00
With the nearest neighbours (Å) after each atom.
Space group Amm2 (No. 38)
Symmetry-distinct sites (fractional):
La 0.0000 0.0000 0.0000  3 Sn 3.16-3.20, 2 La 3.37, 1 Er 3.49
Er 0.0000 0.0000 0.2802  3 Sn 2.97-3.22
Sn 0.0000 0.0000 0.5189  1 Sn 2.83, 1 Er 2.97
Sn 0.0000 0.0000 0.7463  1 Sn 2.83, 1 La 3.16

Output
VASP energy in eV/atom: -4.323
Density in Mg/m³: 6.7

# 4
A plane-wave DFT calculation with GGA-PBE was carried out for a geometry-optimized PaSb2Os structure.

a b c (Å): 3.1547 3.1547 10.5343
angles (deg): 90.00 90.00 120.00
With the nearest neighbours (Å) after each atom.
Space group P-6m2 (No. 187)
Symmetry-distinct sites (fractional):
Pa 0.0000 0.0000 0.0000  6 Pa 3.15, 6 Sb 3.25
Sb 0.3333 0.6667 0.2561  1 Os 2.57
Os 0.3333 0.6667 0.5000  2 Sb 2.57

Output
VASP energy in eV/atom: -6.725
Density in Mg/m³: 12.2

# 5
A plane-wave DFT calculation with GGA-PBE was carried out for a geometry-optimized HoSc2Ge4Au4 structure.

a b c (Å): 4.1943 7.0659 14.3278
angles (deg): 90.00 90.00 90.00
With the nearest neighbours (Å) after each atom.
Space group Immm (No. 71)
Symmetry-distinct sites (fractional):
Ho 0.0000 0.0000 0.0000  6 Ge 3.09-3.15
Sc 0.0000 0.5000 0.1222  6 Ge 3.01-3.09, 6 Au 3.03-3.35
Ge 0.0000 0.0000 0.2198  6 Au 2.65-2.66
Ge 0.0000 0.1793 0.5000  2 Au 2.52, 1 Ge 2.53
Au 0.0000 0.2961 0.3336  4 Ge 2.52-2.66

Output
VASP energy in eV/atom: -5.018
Density in Mg/m³: 10.4

# 6
A plane-wave DFT calculation with GGA-PBE was carried out for a geometry-optimized LaHoS2F2 structure.

a b c (Å): 3.8641 3.8641 6.8871
angles (deg): 90.00 90.00 90.00
With the nearest neighbours (Å) after each atom.
Space group P4mm (No. 99)
Symmetry-distinct sites (fractional):
La 0.0000 0.0000 0.0000  4 F 2.54
Ho 0.5000 0.5000 0.4610  4 F 2.47
S 0.0000 0.0000 0.5754  4 Ho 2.84, 1 La 2.92, 4 F 3.02
S 0.5000 0.5000 0.8632  1 Ho 2.77, 4 La 2.89
F 0.0000 0.5000 0.2384  2 Ho 2.47, 2 La 2.54, 4 F 2.73

Output
VASP energy in eV/atom: -6.604
Density in Mg/m³: 6.6

# 7
A plane-wave DFT calculation with GGA-PBE was carried out for a geometry-optimized HoTlCoTe3 structure.

a b c (Å): 12.7195 4.2252 12.6203
angles (deg): 90.00 90.00 90.00
With the nearest neighbours (Å) after each atom.
Space group Pnma (No. 62)
Symmetry-distinct sites (fractional):
Ho 0.0365 0.2500 0.1867  6 Te 3.03-3.27
Tl 0.1946 0.2500 0.5025  2 Co 3.12, 5 Te 3.40-3.46
Co 0.2299 0.7500 0.3244  4 Te 2.52-2.57
Te 0.0341 0.7500 0.3582  1 Co 2.53
Te 0.1005 0.2500 0.9356  1 Co 2.57
Te 0.2202 0.7500 0.7278  2 Co 2.52

Output
Polymorph energy (0 for the lowest one) in eV/f.u.: 0.380
Density in Mg/m³: 7.9

# 8
A plane-wave DFT calculation with GGA-PBE was carried out for a geometry-optimized YGa2Pd3 structure.

a b c (Å): 4.4193 4.4193 12.4513
angles (deg): 90.00 90.00 120.00
With the nearest neighbours (Å) after each atom.
Space group P6_3/mmc (No. 194)
Symmetry-distinct sites (fractional):
Y 0.0000 0.0000 0.2500  8 Pd 2.99-3.11, 6 Ga 3.27
Ga 0.3333 0.6667 0.0856  7 Pd 2.60-2.77
Pd 0.0000 0.0000 0.0000  6 Ga 2.77, 6 Pd 2.99
Pd 0.3333 0.6667 0.6250  4 Ga 2.60-2.62

Output
VASP energy in eV/atom: -5.508
Density in Mg/m³: 8.6

The highest density belongs to which entry?
PaSb2Os

density of number 1 (Zn2SiBrN4)?
4.9 Mg/m³

Among the records above, which one has the lowest density?
Zn2SiBrN4